1.
A geometry-optimized VAg3Sn structure, computed with PBE.

Unit cell a=5.0148 b=5.0148 c=5.0148 alpha=90.00 beta=90.00 gamma=90.00
Sites, in units of the cell vectors:
1 V 0.0000 0.0000 0.0000
2 Ag 0.0000 0.0000 0.5000
3 Ag 0.5000 0.0000 0.0000
4 Ag 0.0000 0.5000 0.0000
5 Sn 0.5000 0.5000 0.5000

Calculated values
For the offset from the most stable computed form, the calculation gives 2.7 kJ per mole of atoms. The density of states at the Fermi level comes out at 5.98 states/eV/f.u. The total energy is -3.324 eV/atom.

=====

2.
A geometry-optimized V2AgSn2 structure, computed with PBE.

Unit cell a=7.3687 b=7.3687 c=3.4618 alpha=90.00 beta=90.00 gamma=90.00
Sites, in units of the cell vectors:
1 V 0.6093 0.1093 0.0000
2 V 0.1093 0.3907 0.0000
3 V 0.3907 0.8907 0.0000
4 V 0.8907 0.6093 0.0000
5 Ag 0.5000 0.5000 0.0000
6 Ag 0.0000 0.0000 0.0000
7 Sn 0.1844 0.6844 0.5000
8 Sn 0.3156 0.1844 0.5000
9 Sn 0.6844 0.8156 0.5000
10 Sn 0.8156 0.3156 0.5000

Calculated values
For the offset from the most stable computed form, the calculation gives 0.0 kJ per mole of atoms. The density of states at the Fermi level comes out at 4.44 states/eV/f.u. The total energy is -5.630 eV/atom.

=====

3.
A geometry-optimized VAg3Sn structure, computed with PBE.

Unit cell a=5.1312 b=5.1312 c=5.1312 alpha=90.00 beta=90.00 gamma=90.00
Sites, in units of the cell vectors:
1 V 0.5000 0.5000 0.5000
2 Sn 0.0000 0.0000 0.0000
3 Ag 0.5000 0.0000 0.0000
4 Ag 0.0000 0.5000 0.0000
5 Ag 0.0000 0.0000 0.5000

Calculated values
For the offset from the most stable computed form, the calculation gives 0.0 kJ per mole of atoms. The density of states at the Fermi level comes out at 6.68 states/eV/f.u. The total energy is -3.352 eV/atom.

=====

4.
A geometry-optimized V2AgSn structure, computed with PBE.

Unit cell a=7.3158 b=7.3158 c=5.8394 alpha=51.21 beta=51.21 gamma=90.00
Sites, in units of the cell vectors:
1 V 0.6223 0.1250 0.2500
2 V 0.3750 0.3777 0.7500
3 V 0.1277 0.6250 0.2500
4 V 0.8750 0.8723 0.7500
5 Ag 0.5000 0.5000 0.0000
6 Ag 0.2500 0.7500 0.5000
7 Sn 0.0000 0.0000 0.0000
8 Sn 0.7500 0.2500 0.5000

Calculated values
The density of states at the Fermi level comes out at 4.21 states/eV/f.u. The total energy is -5.613 eV/atom.

=====

5.
A geometry-optimized V2AgSnW structure, computed with PBE.

Unit cell a=5.0010 b=5.0457 c=5.0010 alpha=90.00 beta=90.00 gamma=90.00
Sites, in units of the cell vectors:
1 Ag 0.5000 0.5000 0.5000
2 V 0.0000 0.0000 0.5000
3 V 0.5000 0.0000 0.0000
4 Sn 0.0000 0.0000 0.0000
5 W 0.0000 0.5000 0.0000

Calculated values
The density of states at the Fermi level comes out at 7.52 states/eV/f.u. The total energy is -5.655 eV/atom.

=====

6.
A geometry-optimized YVAg2Sn structure, computed with PBE.

Unit cell a=5.2676 b=5.6704 c=5.2676 alpha=90.00 beta=90.00 gamma=90.00
Sites, in units of the cell vectors:
1 Sn 0.0000 0.5000 0.0000
2 V 0.5000 0.5000 0.5000
3 Ag 0.5000 0.0000 0.0000
4 Ag 0.0000 0.0000 0.5000
5 Y 0.0000 0.0000 0.0000

Calculated values
For the offset from the most stable computed form, the calculation gives 36.8 kJ per mole of atoms. The density of states at the Fermi level comes out at 7.57 states/eV/f.u. The total energy is -3.574 eV/atom.

=====

7.
A geometry-optimized YVAg2Sn structure, computed with PBE.

Unit cell a=5.0866 b=5.7217 c=5.0866 alpha=90.00 beta=90.00 gamma=90.00
Sites, in units of the cell vectors:
1 Y 0.0000 0.5000 0.0000
2 Ag 0.5000 0.0000 0.0000
3 Ag 0.0000 0.0000 0.5000
4 Sn 0.0000 0.0000 0.0000
5 V 0.5000 0.5000 0.5000

Calculated values
For the offset from the most stable computed form, the calculation gives 0.0 kJ per mole of atoms. The density of states at the Fermi level comes out at 11.05 states/eV/f.u. The total energy is -3.956 eV/atom.

=====

8.
A geometry-optimized VZnAgSn2 structure, computed with PBE.

Unit cell a=5.2021 b=5.0526 c=5.2021 alpha=90.00 beta=90.00 gamma=90.00
Sites, in units of the cell vectors:
1 Ag 0.0000 0.0000 0.0000
2 Sn 0.5000 0.0000 0.0000
3 Sn 0.0000 0.0000 0.5000
4 Zn 0.5000 0.5000 0.5000
5 V 0.0000 0.5000 0.0000

Calculated values
The density of states at the Fermi level comes out at 7.17 states/eV/f.u. The total energy is -3.136 eV/atom.

=====

9.
A geometry-optimized AgSn4W2 structure, computed with PBE.

Unit cell a=5.3318 b=5.3318 c=7.7026 alpha=69.75 beta=69.75 gamma=90.00
Sites, in units of the cell vectors:
1 Ag 0.0000 0.0000 0.0000
2 Sn 0.7965 0.7965 0.4070
3 Sn 0.5000 0.0000 0.0000
4 Sn 0.2035 0.2035 0.5930
5 Sn 0.0000 0.5000 0.0000
6 W 0.5879 0.5879 0.8242
7 W 0.4121 0.4121 0.1758

Calculated values
The density of states at the Fermi level comes out at 6.73 states/eV/f.u. The total energy is -5.339 eV/atom.

=====

10.
A geometry-optimized AgSnW2 structure, computed with PBE.

Unit cell a=7.2438 b=7.2464 c=5.0656 alpha=54.75 beta=54.77 gamma=93.61
Sites, in units of the cell vectors:
1 W 0.1529 0.5002 0.3514
2 W 0.7217 0.8743 0.8997
3 W 0.2502 0.4027 0.8517
4 W 0.6243 0.9719 0.3995
5 Sn 0.7470 0.3780 0.3750
6 Sn 0.1283 0.9974 0.8739
7 Ag 0.6400 0.4860 0.8740
8 Ag 0.2355 0.8894 0.3747

Calculated values
The density of states at the Fermi level comes out at 1.92 states/eV/f.u. The total energy is -7.638 eV/atom.

=====

11.
A geometry-optimized AgSn2W structure, computed with PBE.

Unit cell a=7.6338 b=7.6338 c=6.1970 alpha=51.98 beta=51.98 gamma=90.00
Sites, in units of the cell vectors:
1 Sn 0.3750 0.3678 0.7500
2 Sn 0.1178 0.6250 0.2500
3 Sn 0.8750 0.8822 0.7500
4 Sn 0.6322 0.1250 0.2500
5 W 0.0000 0.0000 0.0000
6 W 0.7500 0.2500 0.5000
7 Ag 0.5000 0.5000 0.0000
8 Ag 0.2500 0.7500 0.5000

Calculated values
For the offset from the most stable computed form, the calculation gives 21.7 kJ per mole of atoms. The density of states at the Fermi level comes out at 4.65 states/eV/f.u. The total energy is -5.043 eV/atom.

=====

12.
A geometry-optimized AgSn2W structure, computed with PBE.

Unit cell a=4.8459 b=4.8459 c=4.8459 alpha=60.00 beta=60.00 gamma=60.00
Sites, in units of the cell vectors:
1 Ag 0.0000 0.0000 0.0000
2 Sn 0.2500 0.2500 0.2500
3 Sn 0.7500 0.7500 0.7500
4 W 0.5000 0.5000 0.5000

Calculated values
For the offset from the most stable computed form, the calculation gives 0.0 kJ per mole of atoms. The density of states at the Fermi level comes out at 4.47 states/eV/f.u. The total energy is -5.268 eV/atom.

=====

13.
A geometry-optimized AgSnW3 structure, computed with PBE.

Unit cell a=4.8151 b=4.8151 c=4.8151 alpha=90.00 beta=90.00 gamma=90.00
Sites, in units of the cell vectors:
1 W 0.0000 0.5000 0.0000
2 W 0.0000 0.0000 0.5000
3 W 0.5000 0.0000 0.0000
4 Sn 0.5000 0.5000 0.5000
5 Ag 0.0000 0.0000 0.0000

Calculated values
For the offset from the most stable computed form, the calculation gives 0.0 kJ per mole of atoms. The density of states at the Fermi level comes out at 7.82 states/eV/f.u. The total energy is -6.494 eV/atom.

=====

14.
A geometry-optimized AgSn3W structure, computed with PBE.

Unit cell a=5.2721 b=5.2721 c=5.2721 alpha=90.00 beta=90.00 gamma=90.00
Sites, in units of the cell vectors:
1 Sn 0.5000 0.0000 0.0000
2 Sn 0.0000 0.0000 0.5000
3 Sn 0.0000 0.5000 0.0000
4 Ag 0.5000 0.5000 0.5000
5 W 0.0000 0.0000 0.0000

Calculated values
For the offset from the most stable computed form, the calculation gives 0.0 kJ per mole of atoms. The density of states at the Fermi level comes out at 5.59 states/eV/f.u. The total energy is -4.984 eV/atom.

=====

15.
A geometry-optimized Ag3SnW structure, computed with PBE.

Unit cell a=5.1082 b=5.1082 c=5.1082 alpha=90.00 beta=90.00 gamma=90.00
Sites, in units of the cell vectors:
1 Ag 0.0000 0.5000 0.0000
2 Ag 0.0000 0.0000 0.5000
3 Ag 0.5000 0.0000 0.0000
4 Sn 0.5000 0.5000 0.5000
5 W 0.0000 0.0000 0.0000

Calculated values
For the offset from the most stable computed form, the calculation gives 0.0 kJ per mole of atoms. The density of states at the Fermi level comes out at 7.99 states/eV/f.u. The total energy is -3.561 eV/atom.

=====

16.
A geometry-optimized Ag3SnW structure, computed with PBE.

Unit cell a=5.1063 b=5.1063 c=5.1063 alpha=90.00 beta=90.00 gamma=90.00
Sites, in units of the cell vectors:
1 Ag 0.0000 0.5000 0.0000
2 Ag 0.0000 0.0000 0.5000
3 Ag 0.5000 0.0000 0.0000
4 W 0.5000 0.5000 0.5000
5 Sn 0.0000 0.0000 0.0000

Calculated values
For the offset from the most stable computed form, the calculation gives 8.2 kJ per mole of atoms. The density of states at the Fermi level comes out at 2.29 states/eV/f.u. The total energy is -3.476 eV/atom.

=====

17.
A geometry-optimized Y2AgSnW structure, computed with PBE.

Unit cell a=5.3670 b=5.3670 c=5.2314 alpha=90.00 beta=90.00 gamma=90.00
Sites, in units of the cell vectors:
1 Ag 0.5000 0.5000 0.5000
2 Sn 0.0000 0.0000 0.5000
3 Y 0.0000 0.5000 0.0000
4 Y 0.5000 0.0000 0.0000
5 W 0.0000 0.0000 0.0000

Calculated values
The density of states at the Fermi level comes out at 4.31 states/eV/f.u. The total energy is -6.040 eV/atom.

=====

18.
A geometry-optimized YAg2SnW structure, computed with PBE.

Unit cell a=5.2245 b=5.6455 c=5.2245 alpha=90.00 beta=90.00 gamma=90.00
Sites, in units of the cell vectors:
1 Y 0.0000 0.0000 0.0000
2 W 0.5000 0.5000 0.5000
3 Ag 0.5000 0.0000 0.0000
4 Ag 0.0000 0.0000 0.5000
5 Sn 0.0000 0.5000 0.0000

Calculated values
The density of states at the Fermi level comes out at 3.76 states/eV/f.u. The total energy is -3.956 eV/atom.

=====

19.
A geometry-optimized YAg2Sn2 structure, computed with PBE.

Unit cell a=8.3208 b=8.3208 c=3.3991 alpha=90.00 beta=90.00 gamma=90.00
Sites, in units of the cell vectors:
1 Y 0.5000 0.5000 0.0000
2 Y 0.0000 0.0000 0.0000
3 Ag 0.8510 0.3510 0.5000
4 Ag 0.6490 0.8510 0.5000
5 Ag 0.1490 0.6490 0.5000
6 Ag 0.3510 0.1490 0.5000
7 Sn 0.8526 0.6474 0.0000
8 Sn 0.1474 0.3526 0.0000
9 Sn 0.6474 0.1474 0.0000
10 Sn 0.3526 0.8526 0.0000

Calculated values
The density of states at the Fermi level comes out at 2.39 states/eV/f.u. The total energy is -4.172 eV/atom.

=====

20.
A geometry-optimized Y4AgSn structure, computed with PBE.

Unit cell a=8.2067 b=8.2067 c=8.2067 alpha=107.45 beta=107.45 gamma=113.59
Sites, in units of the cell vectors:
1 Ag 0.2571 0.2571 0.0000
2 Ag 0.0071 0.5071 0.5000
3 Y 0.2019 0.0088 0.1931
4 Y 0.2836 0.4918 0.7918
5 Y 0.8156 0.0088 0.8069
6 Y 0.2418 0.9500 0.7082
7 Y 0.2418 0.5336 0.2918
8 Y 0.7588 0.4519 0.6931
9 Y 0.7588 0.0656 0.3069
10 Y 0.7000 0.4918 0.2082
11 Sn 0.7417 0.7417 0.0000
12 Sn 0.4917 0.9917 0.5000

Calculated values
The density of states at the Fermi level comes out at 8.66 states/eV/f.u. The total energy is -5.434 eV/atom.

=====

21.
A geometry-optimized YAg2Sn structure, computed with PBE.

Unit cell a=4.3604 b=4.3604 c=10.7583 alpha=78.31 beta=78.31 gamma=90.00
Sites, in units of the cell vectors:
1 Sn 0.7500 0.2500 0.5000
2 Sn 0.0000 0.0000 0.0000
3 Y 0.2500 0.7500 0.5000
4 Y 0.5000 0.5000 0.0000
5 Ag 0.6483 0.1250 0.2500
6 Ag 0.1017 0.6250 0.2500
7 Ag 0.3750 0.3517 0.7500
8 Ag 0.8750 0.8983 0.7500

Calculated values
The density of states at the Fermi level comes out at 1.56 states/eV/f.u. The total energy is -4.168 eV/atom.

=====

22.
A geometry-optimized YAg3Sn structure, computed with PBE.

Unit cell a=5.1145 b=5.1145 c=5.1145 alpha=90.00 beta=90.00 gamma=90.00
Sites, in units of the cell vectors:
1 Ag 0.0000 0.0000 0.5000
2 Ag 0.5000 0.0000 0.0000
3 Ag 0.0000 0.5000 0.0000
4 Sn 0.0000 0.0000 0.0000
5 Y 0.5000 0.5000 0.5000

Calculated values
For the offset from the most stable computed form, the calculation gives 0.0 kJ per mole of atoms. The density of states at the Fermi level comes out at 4.17 states/eV/f.u. The total energy is -3.489 eV/atom.

=====

23.
A geometry-optimized YAgSn2 structure, computed with PBE.

Unit cell a=3.4330 b=3.4330 c=10.8275 alpha=80.88 beta=80.88 gamma=60.00
Sites, in units of the cell vectors:
1 Sn 0.0972 0.0972 0.7085
2 Sn 0.9028 0.9028 0.2915
3 Ag 0.5000 0.5000 0.5000
4 Y 0.0000 0.0000 0.0000

Calculated values
For the offset from the most stable computed form, the calculation gives 50.6 kJ per mole of atoms. The density of states at the Fermi level comes out at 2.47 states/eV/f.u. The total energy is -4.255 eV/atom.

=====

24.
A geometry-optimized Y6Ag5Sn structure, computed with PBE.

Unit cell a=5.1823 b=7.3469 c=9.0002 alpha=114.09 beta=106.73 gamma=90.00
Sites, in units of the cell vectors:
1 Ag 0.0000 0.5000 0.0000
2 Ag 0.6661 0.6661 0.3321
3 Ag 0.3339 0.3339 0.6679
4 Ag 0.3314 0.8314 0.6629
5 Ag 0.6686 0.1686 0.3371
6 Sn 0.0000 0.0000 0.0000
7 Y 0.4999 0.7444 0.0000
8 Y 0.8314 0.5783 0.6629
9 Y 0.8315 0.0846 0.6629
10 Y 0.1685 0.9154 0.3371
11 Y 0.5001 0.2556 0.0000
12 Y 0.1686 0.4217 0.3371

Calculated values
The density of states at the Fermi level comes out at 8.03 states/eV/f.u. The total energy is -5.155 eV/atom.

=====

25.
A geometry-optimized YAg2Sn2 structure, computed with PBE.

Unit cell a=8.0851 b=8.0851 c=3.5832 alpha=90.00 beta=90.00 gamma=90.00
Sites, in units of the cell vectors:
1 Ag 0.1206 0.3794 0.0000
2 Ag 0.6206 0.1206 0.0000
3 Ag 0.8794 0.6206 0.0000
4 Ag 0.3794 0.8794 0.0000
5 Sn 0.8187 0.3187 0.5000
6 Sn 0.1813 0.6813 0.5000
7 Sn 0.6813 0.8187 0.5000
8 Sn 0.3187 0.1813 0.5000
9 Y 0.0000 0.0000 0.0000
10 Y 0.5000 0.5000 0.0000

Calculated values
The density of states at the Fermi level comes out at 3.61 states/eV/f.u. The total energy is -4.241 eV/atom.

=====

26.
A geometry-optimized YAgSn2 structure, computed with PBE.

Unit cell a=4.6656 b=4.6656 c=4.3900 alpha=90.00 beta=90.00 gamma=90.00
Sites, in units of the cell vectors:
1 Y 0.0000 0.0000 0.0000
2 Sn 0.5000 0.0000 0.5000
3 Sn 0.0000 0.5000 0.5000
4 Ag 0.5000 0.5000 0.0000

Calculated values
For the offset from the most stable computed form, the calculation gives 0.0 kJ per mole of atoms. The density of states at the Fermi level comes out at 1.54 states/eV/f.u. The total energy is -4.779 eV/atom.